No. 1
# LiBe6As4

An optimized crystal structure of LiBe6As4 (PBE-GGA, Alexandria via LeMat-Bulk).

Its space group is Fmmm, No. 69. The density of states at the Fermi level comes out at 0.115 states/eV per atom. As for the calculated formation energy: -32 meV per atom.

Cell: 3.687 3.687 12.611 Å, 99.78 99.78 80.70°
Atoms (fractional coordinates):
Be 0.875 0.375 0.750
Be 0.375 0.875 0.750
Be 0.250 0.750 0.500
Be 0.625 0.125 0.250
Be 0.750 0.250 0.500
Be 0.125 0.625 0.250
As 0.809 0.809 0.618
As 0.573 0.573 0.146
As 0.427 0.427 0.854
As 0.191 0.191 0.382
Li 0.000 0.000 0.000

---

No. 2
# LiBeAs

An optimized crystal structure of LiBeAs (PBE-GGA, Alexandria via LeMat-Bulk).

Its space group is P3m1, No. 156. The density of states at the Fermi level comes out at 0.221 states/eV per atom. As for the calculated formation energy: 213 meV per atom.

Cell: 3.010 3.010 5.936 Å, 90.00 90.00 120.00°
Atoms (fractional coordinates):
Li 0.333 0.667 0.667
Be 0.667 0.333 0.302
As 0.000 0.000 0.032